(1)
Here is a relaxed BaReN3 crystal from Alexandria via LeMat-Bulk. Energies are from PBE-GGA.

Cell and atoms, written as POSCAR:
```
BaReN3
1.0
4.4327 0.0000 0.0000
-0.7829 6.2142 0.0000
-1.2876 -3.1320 6.5849
Ba Re N
2 2 6
Direct
0.0000 0.0000 0.0000 Ba
0.4534 0.2961 0.5952 Ba
0.1606 0.7228 0.4537 Re
0.5418 0.6104 0.2433 Re
0.0254 0.4769 0.8618 N
0.2300 0.5401 0.0162 N
0.3933 0.8769 0.7093 N
0.6323 0.2959 0.2225 N
0.8395 0.4455 0.4052 N
0.9107 0.8836 0.3314 N
```

## Properties
formation energy from raw total energies = -0.266 eV per atom

(2)
Here is a relaxed La2TbSm12 crystal from Alexandria via LeMat-Bulk. Energies are from PBE-GGA.

Cell and atoms, written as POSCAR:
```
La2TbSm12
1.0
3.6067 -5.7853 0.0000
3.6067 5.7853 0.0000
0.0000 0.0000 25.0928
La Tb Sm
4 2 24
Direct
0.2500 0.7500 0.2333 La
0.2500 0.7500 0.7743 La
0.7500 0.2500 0.2257 La
0.7500 0.2500 0.7667 La
0.2500 0.7500 0.5001 Tb
0.7500 0.2500 0.4999 Tb
0.0013 0.5013 0.6262 Sm
0.0007 0.9993 0.4242 Sm
0.0202 0.5202 0.0813 Sm
0.0240 0.9760 0.9405 Sm
0.2500 0.2500 0.1723 Sm
0.2500 0.2500 0.3011 Sm
0.2500 0.2500 0.6989 Sm
0.2500 0.2500 0.8277 Sm
0.4760 0.5240 0.9405 Sm
0.4798 0.9798 0.0813 Sm
0.4993 0.5007 0.4242 Sm
0.4987 0.9987 0.6262 Sm
0.5013 0.0013 0.3738 Sm
0.5007 0.4993 0.5758 Sm
0.5202 0.0202 0.9187 Sm
0.5240 0.4760 0.0595 Sm
0.7500 0.7500 0.1723 Sm
0.7500 0.7500 0.3011 Sm
0.7500 0.7500 0.6989 Sm
0.7500 0.7500 0.8277 Sm
0.9760 0.0240 0.0595 Sm
0.9798 0.4798 0.9187 Sm
0.9993 0.0007 0.5758 Sm
0.9987 0.4987 0.3738 Sm
```

## Properties
ΔE_f = 0.1498 eV per atom

(3)
Here is a relaxed Sm6MgCo crystal from Alexandria via LeMat-Bulk. Energies are from PBE-GGA.

Cell and atoms, written as POSCAR:
```
Sm6MgCo
1.0
4.0317 -5.2013 0.0000
4.0317 5.2013 0.0000
-1.8151 0.0000 6.0665
Sm Mg Co
6 1 1
Direct
0.0786 0.6940 0.7212 Sm
0.2731 0.2731 0.8742 Sm
0.3060 0.9214 0.2788 Sm
0.6940 0.0786 0.7212 Sm
0.7269 0.7269 0.1258 Sm
0.9214 0.3060 0.2788 Sm
0.5000 0.5000 0.5000 Mg
0.0000 0.0000 0.0000 Co
```

## Properties
ΔE_f = 0.0827 eV per atom

(4)
Here is a relaxed Ca2La3Pd4 crystal from Alexandria via LeMat-Bulk. Energies are from PBE-GGA.

Cell and atoms, written as POSCAR:
```
Ca2La3Pd4
1.0
8.0685 0.0000 0.0000
0.0000 7.9939 0.0000
-2.5808 0.0000 7.4214
Ca La Pd
4 6 8
Direct
0.1943 0.1795 0.0794 Ca
0.1943 0.3205 0.5794 Ca
0.8057 0.6795 0.4206 Ca
0.8057 0.8205 0.9206 Ca
0.2368 0.6635 0.2522 La
0.2368 0.8365 0.7522 La
0.5000 0.0000 0.5000 La
0.5000 0.5000 0.0000 La
0.7632 0.1635 0.2478 La
0.7632 0.3365 0.7478 La
0.0915 0.5351 0.8684 Pd
0.0915 0.9649 0.3684 Pd
0.4976 0.6278 0.6276 Pd
0.4976 0.8722 0.1276 Pd
0.5024 0.1278 0.8724 Pd
0.5024 0.3722 0.3724 Pd
0.9085 0.0351 0.6316 Pd
0.9085 0.4649 0.1316 Pd
```

## Properties
ΔE_f = -0.7107 eV per atom

(5)
Here is a relaxed Dy6Ho2Th crystal from Alexandria via LeMat-Bulk. Energies are from PBE-GGA.

Cell and atoms, written as POSCAR:
```
Dy6Ho2Th
1.0
3.5608 0.0000 0.0000
-1.7804 3.0838 0.0000
0.0000 0.0000 26.1963
Dy Ho Th
6 2 1
Direct
0.0000 0.0000 0.0654 Dy
0.0000 0.0000 0.2801 Dy
0.0000 0.0000 0.7199 Dy
0.0000 0.0000 0.9346 Dy
0.3333 0.6667 0.3891 Dy
0.3333 0.6667 0.6109 Dy
0.3333 0.6667 0.1712 Ho
0.3333 0.6667 0.8288 Ho
0.0000 0.0000 0.5000 Th
```

## Properties
ΔE_f = 0.0586 eV per atom

(6)
Here is a relaxed Dy8Er3Zr crystal from Alexandria via LeMat-Bulk. Energies are from PBE-GGA.

Cell and atoms, written as POSCAR:
```
Dy8Er3Zr
1.0
3.5339 2.0403 8.4253
-3.5339 2.0403 8.4253
0.0000 -4.0806 8.4253
Dy Er Zr
8 3 1
Direct
0.2186 0.7268 0.7268 Dy
0.2227 0.2227 0.2227 Dy
0.2732 0.2732 0.7814 Dy
0.2732 0.7814 0.2732 Dy
0.7268 0.2186 0.7268 Dy
0.7268 0.7268 0.2186 Dy
0.7773 0.7773 0.7773 Dy
0.7814 0.2732 0.2732 Dy
0.0000 0.5000 0.5000 Er
0.5000 0.0000 0.5000 Er
0.5000 0.5000 0.0000 Er
0.0000 0.0000 0.0000 Zr
```

## Properties
ΔE_f = 0.0324 eV per atom

(7)
Here is a relaxed ReP3 crystal from Alexandria via LeMat-Bulk. Energies are from PBE-GGA.

Cell and atoms, written as POSCAR:
```
ReP3
1.0
3.7104 -5.8402 0.0000
3.7104 5.8402 0.0000
0.0000 0.0000 4.0173
Re P
2 6
Direct
0.0738 0.9262 0.7500 Re
0.9262 0.0738 0.2500 Re
0.1173 0.3000 0.7500 P
0.2279 0.7721 0.2500 P
0.3000 0.1173 0.2500 P
0.7000 0.8827 0.7500 P
0.7721 0.2279 0.7500 P
0.8827 0.7000 0.2500 P
```

## Properties
ΔE_f = 0.1411 eV per atom

(8)
Here is a relaxed AcInSnPt crystal from Alexandria via LeMat-Bulk. Energies are from PBE-GGA.

Cell and atoms, written as POSCAR:
```
AcInSnPt
1.0
0.0000 3.7275 3.7275
3.7275 0.0000 3.7275
3.7275 3.7275 0.0000
Ac In Sn Pt
1 1 1 1
Direct
0.0000 0.0000 0.0000 Ac
0.7500 0.7500 0.7500 In
0.5000 0.5000 0.5000 Sn
0.2500 0.2500 0.2500 Pt
```

## Properties
ΔE_f = -0.4948 eV per atom

(9)
Here is a relaxed NaUCrN4 crystal from Alexandria via LeMat-Bulk. Energies are from PBE-GGA.

Cell and atoms, written as POSCAR:
```
NaUCrN4
1.0
5.7384 0.0000 0.0000
0.0000 5.4428 0.0000
-1.6666 0.0000 6.7473
Na U Cr N
2 2 2 8
Direct
0.1589 0.2500 0.4086 Na
0.8411 0.7500 0.5914 Na
0.2749 0.2500 0.9418 U
0.7251 0.7500 0.0582 U
0.2559 0.7500 0.1773 Cr
0.7441 0.2500 0.8227 Cr
0.0303 0.7500 0.3096 N
0.0624 0.7500 0.9462 N
0.4584 0.5056 0.1851 N
0.4584 0.9944 0.1851 N
0.5416 0.0056 0.8149 N
0.5416 0.4944 0.8149 N
0.9376 0.2500 0.0538 N
0.9697 0.2500 0.6904 N
```

## Properties
formation energy from raw total energies = -0.634 eV per atom

(10)
Here is a relaxed La2Ni3Sn2 crystal from Alexandria via LeMat-Bulk. Energies are from PBE-GGA.

Cell and atoms, written as POSCAR:
```
La2Ni3Sn2
1.0
-4.2957 4.2957 4.2957
4.2957 -4.2957 4.2957
4.2957 4.2957 -4.2957
La Ni Sn
4 6 4
Direct
0.0000 0.9974 0.5000 La
0.5000 0.0000 0.9974 La
0.5026 0.5026 0.5026 La
0.9974 0.5000 0.0000 La
0.0455 0.2500 0.2955 Ni
0.2045 0.4545 0.7500 Ni
0.2500 0.2955 0.0455 Ni
0.2955 0.0455 0.2500 Ni
0.4545 0.7500 0.2045 Ni
0.7500 0.2045 0.4545 Ni
0.0000 0.5656 0.5000 Sn
0.5000 0.0000 0.5656 Sn
0.5656 0.5000 0.0000 Sn
0.9344 0.9344 0.9344 Sn
```

## Properties
ΔE_f = -0.4254 eV per atom

(11)
Here is a relaxed PrDy2Hg5 crystal from Alexandria via LeMat-Bulk. Energies are from PBE-GGA.

Cell and atoms, written as POSCAR:
```
PrDy2Hg5
1.0
-2.6341 2.6341 7.3789
2.6341 -2.6341 7.3789
2.6341 2.6341 -7.3789
Pr Dy Hg
1 2 5
Direct
0.0000 0.0000 0.0000 Pr
0.2675 0.2675 0.0000 Dy
0.7325 0.7325 0.0000 Dy
0.1291 0.6291 0.5000 Hg
0.3709 0.8709 0.5000 Hg
0.5000 0.5000 0.0000 Hg
0.6291 0.1291 0.5000 Hg
0.8709 0.3709 0.5000 Hg
```

## Properties
ΔE_f = -0.4448 eV per atom

(12)
Here is a relaxed Ce2Ge4Pd3 crystal from Alexandria via LeMat-Bulk. Energies are from PBE-GGA.

Cell and atoms, written as POSCAR:
```
Ce2Ge4Pd3
1.0
2.9362 -7.5597 0.0000
2.9362 7.5597 0.0000
0.0000 0.0000 7.6374
Ce Ge Pd
4 8 6
Direct
0.1095 0.8905 0.9112 Ce
0.3905 0.6095 0.4112 Ce
0.6095 0.3905 0.5888 Ce
0.8905 0.1095 0.0888 Ce
0.1803 0.8197 0.5261 Ge
0.1945 0.3055 0.7500 Ge
0.3055 0.1945 0.2500 Ge
0.3197 0.6803 0.0261 Ge
0.6803 0.3197 0.9739 Ge
0.6945 0.8055 0.7500 Ge
0.8055 0.6945 0.2500 Ge
0.8197 0.1803 0.4739 Ge
0.0000 0.0000 0.5000 Pd
0.0265 0.4735 0.7500 Pd
0.4735 0.0265 0.2500 Pd
0.5000 0.5000 0.0000 Pd
0.5265 0.9735 0.7500 Pd
0.9735 0.5265 0.2500 Pd
```

## Properties
ΔE_f = -0.7327 eV per atom